# 1
RbLi3Ca4Cl12 after structural relaxation. Source: Alexandria via LeMat-Bulk, functional PBE.

The total energy comes out at -3.993 eV per atom. Its density of states at the Fermi level is 0.0 states/eV per cell. The value obtained for the uncorrected formation energy is -2.150 eV per atom.

The structure belongs to space group Im-3 (No. 204); the cell edges are 10.151, 10.151 and 10.151 Å and the angles 90.00°, 90.00° and 90.00°. The inequivalent atoms are Rb at (0.000, 0.000, 0.000), Li at (0.000, 0.000, 0.500), Ca at (0.250, 0.250, 0.250) and Cl at (0.000, 0.317, 0.170).

# 2
RbLiCaCl4 after structural relaxation. Source: Alexandria via LeMat-Bulk, functional PBE.

The total energy comes out at -3.839 eV per atom. Its density of states at the Fermi level is 0.0 states/eV per cell. The value obtained for the uncorrected formation energy is -2.086 eV per atom.

The structure belongs to space group P2_1/m (No. 11); the cell edges are 6.740, 6.998 and 8.960 Å and the angles 90.00°, 109.28° and 90.00°. The inequivalent atoms are Rb at (0.238, 0.250, 0.442), Li at (0.260, 0.750, 0.171), Ca at (0.288, 0.250, 0.951), Cl at (0.024, 0.750, 0.920), Cl at (0.053, 0.750, 0.332) and Cl at (0.492, 0.001, 0.798).

# 3
Li2CaReCl after structural relaxation. Source: Alexandria via LeMat-Bulk, functional PBE.

The total energy comes out at -3.547 eV per atom. Its density of states at the Fermi level is 3.2 states/eV per cell. The value obtained for the uncorrected formation energy is 0.478 eV per atom.

The structure belongs to space group P4/mmm (No. 123); the cell edges are 4.973, 4.973 and 4.439 Å and the angles 90.00°, 90.00° and 90.00°. The inequivalent atoms are Li at (0.000, 0.500, 0.000), Ca at (0.000, 0.000, 0.500), Re at (0.500, 0.500, 0.000) and Cl at (0.500, 0.500, 0.500).

# 4
Li2CaRhCl8 after structural relaxation. Source: Alexandria via LeMat-Bulk, functional PBE.

The total energy comes out at -3.683 eV per atom. Its density of states at the Fermi level is 5.5 states/eV per cell. The value obtained for the uncorrected formation energy is -1.354 eV per atom.

The structure belongs to space group P-1 (No. 2); the cell edges are 6.298, 6.682 and 7.881 Å and the angles 68.97°, 86.77° and 78.13°. The inequivalent atoms are Li at (0.045, 0.162, 0.308), Ca at (0.500, 0.500, 0.500), Rh at (0.500, 0.500, 0.000), Cl at (0.109, 0.773, 0.433), Cl at (0.155, 0.715, 0.976), Cl at (0.376, 0.292, 0.856) and Cl at (0.409, 0.259, 0.288).

# 5
Li2CaRuCl8 after structural relaxation. Source: Alexandria via LeMat-Bulk, functional PBE.

The total energy comes out at -3.860 eV per atom. Its density of states at the Fermi level is 4.5 states/eV per cell. The value obtained for the uncorrected formation energy is -1.370 eV per atom.

The structure belongs to space group P-1 (No. 2); the cell edges are 6.421, 6.702 and 7.862 Å and the angles 70.31°, 87.24° and 78.02°. The inequivalent atoms are Li at (0.043, 0.158, 0.310), Ca at (0.500, 0.500, 0.500), Ru at (0.500, 0.500, 0.000), Cl at (0.118, 0.775, 0.435), Cl at (0.174, 0.737, 0.964), Cl at (0.366, 0.302, 0.848) and Cl at (0.388, 0.275, 0.282).

# 6
LiCaSCl2 after structural relaxation. Source: Alexandria via LeMat-Bulk, functional PBE.

The total energy comes out at -3.582 eV per atom. Its density of states at the Fermi level is 5.1 states/eV per cell. The value obtained for the uncorrected formation energy is -1.235 eV per atom. The relative energy among the computed polymorphs is 65 meV/atom.

The structure belongs to space group P4/mmm (No. 123); the cell edges are 5.345, 5.345 and 5.484 Å and the angles 90.00°, 90.00° and 90.00°. The inequivalent atoms are Li at (0.000, 0.000, 0.000), Ca at (0.500, 0.500, 0.500), S at (0.500, 0.500, 0.000) and Cl at (0.000, 0.500, 0.500).

# 7
LiCaS2Cl after structural relaxation. Source: Alexandria via LeMat-Bulk, functional PBE.

The total energy comes out at -3.750 eV per atom. Its density of states at the Fermi level is 1.5 states/eV per cell. The value obtained for the uncorrected formation energy is -0.947 eV per atom. The relative energy among the computed polymorphs is 0 meV/atom.

The structure belongs to space group P4/mmm (No. 123); the cell edges are 4.373, 4.373 and 5.300 Å and the angles 90.00°, 90.00° and 90.00°. The inequivalent atoms are Li at (0.000, 0.000, 0.000), Ca at (0.500, 0.500, 0.500), S at (0.000, 0.500, 0.000) and Cl at (0.000, 0.000, 0.500).

# 8
LiCaSCl2 after structural relaxation. Source: Alexandria via LeMat-Bulk, functional PBE.

The total energy comes out at -3.647 eV per atom. Its density of states at the Fermi level is 2.3 states/eV per cell. The value obtained for the uncorrected formation energy is -1.300 eV per atom. The relative energy among the computed polymorphs is 0 meV/atom.

The structure belongs to space group P4/mmm (No. 123); the cell edges are 4.620, 4.620 and 4.945 Å and the angles 90.00°, 90.00° and 90.00°. The inequivalent atoms are Li at (0.000, 0.000, 0.000), Ca at (0.500, 0.500, 0.500), S at (0.000, 0.000, 0.500) and Cl at (0.000, 0.500, 0.000).

# 9
LiCaS2Cl after structural relaxation. Source: Alexandria via LeMat-Bulk, functional PBE.

The total energy comes out at -3.505 eV per atom. Its density of states at the Fermi level is 4.6 states/eV per cell. The value obtained for the uncorrected formation energy is -0.701 eV per atom. The relative energy among the computed polymorphs is 246 meV/atom.

The structure belongs to space group P4/mmm (No. 123); the cell edges are 5.398, 5.398 and 5.355 Å and the angles 90.00°, 90.00° and 90.00°. The inequivalent atoms are Li at (0.000, 0.000, 0.000), Ca at (0.500, 0.500, 0.500), S at (0.000, 0.500, 0.500) and Cl at (0.500, 0.500, 0.000).

# 10
LiCaScCl6 after structural relaxation. Source: Alexandria via LeMat-Bulk, functional PBE.

The total energy comes out at -4.482 eV per atom. Its density of states at the Fermi level is 0.0 states/eV per cell. The value obtained for the uncorrected formation energy is -2.112 eV per atom.

The structure belongs to space group P-31c (No. 163); the cell edges are 6.6758, 6.6758 and 11.7197 Å and the angles 90.00°, 90.00° and 120.00°. The inequivalent atoms are Li at (0.0000, 0.0000, 0.0000), Ca at (0.3333, 0.6667, 0.2500), Sc at (0.3333, 0.6667, 0.7500) and Cl at (0.0273, 0.3549, 0.6277).

# 11
LiCaSi2Cl after structural relaxation. Source: Alexandria via LeMat-Bulk, functional PBE.

The total energy comes out at -3.362 eV per atom. Its density of states at the Fermi level is 3.4 states/eV per cell. The value obtained for the uncorrected formation energy is -0.040 eV per atom.

The structure belongs to space group P4/mmm (No. 123); the cell edges are 4.299, 4.299 and 5.968 Å and the angles 90.00°, 90.00° and 90.00°. The inequivalent atoms are Li at (0.000, 0.000, 0.000), Ca at (0.500, 0.500, 0.500), Si at (0.000, 0.500, 0.000) and Cl at (0.000, 0.000, 0.500).

# 12
LiCaSmCl6 after structural relaxation. Source: Alexandria via LeMat-Bulk, functional PBE.

The total energy comes out at -4.385 eV per atom. Its density of states at the Fermi level is 0.0 states/eV per cell. The value obtained for the uncorrected formation energy is -2.195 eV per atom.

The structure belongs to space group P-31c (No. 163); the cell edges are 6.7244, 6.7244 and 12.2703 Å and the angles 90.00°, 90.00° and 120.00°. The inequivalent atoms are Li at (0.3333, 0.6667, 0.2500), Ca at (0.0000, 0.0000, 0.0000), Sm at (0.3333, 0.6667, 0.7500) and Cl at (0.0112, 0.3474, 0.1286).